# CaNpSb2

CaNpSb2 after structural relaxation (PBE-GGA, the Alexandria database).

```
CaNpSb2
1.0
4.303 0.000 0.000
2.152 3.727 0.000
2.152 1.242 7.862
Ca Np Sb
1 1 2
Cartesian
6.455 3.727 7.816 Ca
4.303 2.485 3.964 Np
2.152 1.242 5.834 Sb
2.152 1.242 2.042 Sb
```

## Properties
**ΔE_f (raw)**: -0.429 eV/atom
**DOS at the Fermi energy**: 8.2 states/eV/cell
**Crystal system**: trigonal
**Total magnetic moment**: 3.0 μB/cell
**E**: -24.9 eV for the cell shown